Record 1
The following is a DFT calculation (PBE) of TmHfPa after structural relaxation.

Output
Formation enthalpy at 0 K in kJ per mole of atoms: 15.4
E in eV/atom: -7.81
Energy above the most stable polymorph in this dataset in eV/f.u.: 0.05
ρ in Mg/m³: 12.5

Structure (CIF):
```
data_TmHfPa
_space_group_name_H-M_alt 'P 1'
_space_group_IT_number 1
_space_group_name_Hall 'P 1'
_cell_length_a 7.7895
_cell_length_b 7.7895
_cell_length_c 7.7895
_cell_angle_alpha 156.23
_cell_angle_beta 156.23
_cell_angle_gamma 33.87
loop_
_atom_site_label
_atom_site_fract_x
_atom_site_fract_y
_atom_site_fract_z
Tm1 0.0000 0.0000 0.0000
Hf1 0.6678 0.6678 0.0000
Pa1 0.3233 0.3233 0.0000
```

---

Record 2
The following is a DFT calculation (PBE) of Ta2NiP after structural relaxation.

Output
Formation enthalpy at 0 K in kJ per mole of atoms: -22.4
E in eV/atom: -8.96
ρ in Mg/m³: 12.7

Structure (CIF):
```
data_Ta2NiP
_space_group_name_H-M_alt 'P 1'
_space_group_IT_number 1
_space_group_name_Hall 'P 1'
_cell_length_a 3.6177
_cell_length_b 3.7342
_cell_length_c 4.3783
_cell_angle_alpha 90.00
_cell_angle_beta 90.00
_cell_angle_gamma 90.00
loop_
_atom_site_label
_atom_site_fract_x
_atom_site_fract_y
_atom_site_fract_z
Ta1 0.0000 0.0000 0.0000
Ta2 0.0000 0.5000 0.5000
Ni1 0.5000 0.0000 0.5000
P1 0.5000 0.5000 0.0000
```

---

Please write out number 1 again, unchanged.
The following is a DFT calculation (PBE) of TmHfPa after structural relaxation.

Output
Formation enthalpy at 0 K in kJ per mole of atoms: 15.4
E in eV/atom: -7.81
Energy above the most stable polymorph in this dataset in eV/f.u.: 0.05
ρ in Mg/m³: 12.5

Structure (CIF):
```
data_TmHfPa
_space_group_name_H-M_alt 'P 1'
_space_group_IT_number 1
_space_group_name_Hall 'P 1'
_cell_length_a 7.7895
_cell_length_b 7.7895
_cell_length_c 7.7895
_cell_angle_alpha 156.23
_cell_angle_beta 156.23
_cell_angle_gamma 33.87
loop_
_atom_site_label
_atom_site_fract_x
_atom_site_fract_y
_atom_site_fract_z
Tm1 0.0000 0.0000 0.0000
Hf1 0.6678 0.6678 0.0000
Pa1 0.3233 0.3233 0.0000
```